Entry 1:
DFT (GGA-PBE) results for a geometry-optimized LaAsSeN2 structure.

Calculated values
The value obtained for the magnetization is 0.00 μB/atom. The uncorrected energy is -5.768 eV/atom. For the relative energy among the computed polymorphs, the calculation gives 0 meV/atom.

a b c (Å): 4.111 4.111 5.000
angles (deg): 90.00 90.00 90.00
Space group P4/mmm (No. 123)
One atom of each set of equivalent atoms:
La 0.000 0.000 0.000 x1
As 0.500 0.500 0.500 x1
Se 0.500 0.500 0.000 x1
N 0.000 0.500 0.500 x2



Entry 2:
DFT (GGA-PBE) results for a geometry-optimized LaAsSeN2 structure.

Calculated values
The value obtained for the magnetization is 0.16 μB/atom. The uncorrected energy is -5.047 eV/atom. For the relative energy among the computed polymorphs, the calculation gives 720 meV/atom.

a b c (Å): 4.192 4.192 6.488
angles (deg): 90.00 90.00 90.00
Space group P4/mmm (No. 123)
One atom of each set of equivalent atoms:
La 0.000 0.000 0.000 x1
As 0.500 0.500 0.500 x1
Se 0.000 0.000 0.500 x1
N 0.000 0.500 0.000 x2



Entry 3:
DFT (GGA-PBE) results for a geometry-optimized La8As3Se4N structure.

Calculated values
The value obtained for the magnetization is 0.00 μB/atom. The uncorrected energy is -6.470 eV/atom.

a b c (Å): 8.5235 8.5235 21.1644
angles (deg): 90.00 90.00 120.00
Space group R-3m (No. 166, hexagonal axes)
One atom of each set of equivalent atoms:
La 0.0000 0.0000 0.2477 x6
La 0.0227 0.5113 0.2419 x18
As 0.0000 0.5000 0.5000 x9
Se 0.0000 0.0000 0.0000 x3
Se 0.0000 0.5000 0.0000 x9
N 0.0000 0.0000 0.5000 x3



Entry 4:
DFT (GGA-PBE) results for a geometry-optimized La4AsSe2N structure.

Calculated values
The value obtained for the magnetization is 0.00 μB/atom. The uncorrected energy is -6.632 eV/atom.

a b c (Å): 7.238 4.152 7.394
angles (deg): 90.00 108.82 90.00
Space group P2/m (No. 10)
One atom of each set of equivalent atoms:
La 0.218 0.000 0.214 x2
La 0.233 0.500 0.775 x2
As 0.500 0.000 0.000 x1
Se 0.000 0.000 0.500 x1
Se 0.500 0.500 0.500 x1
N 0.000 0.500 0.000 x1



Entry 5:
DFT (GGA-PBE) results for a geometry-optimized La4AsSe2N2 structure.

Calculated values
The value obtained for the magnetization is 0.10 μB/atom. The uncorrected energy is -6.909 eV/atom.

a b c (Å): 16.203 4.140 7.458
angles (deg): 90.00 112.81 90.00
Space group C2/m (No. 12)
One atom of each set of equivalent atoms:
La 0.039 0.000 0.254 x4
La 0.218 0.500 0.671 x4
As 0.000 0.500 0.500 x2
Se 0.124 0.500 0.023 x4
N 0.177 0.000 0.482 x4



Entry 6:
DFT (GGA-PBE) results for a geometry-optimized La4As2SeN2 structure.

Calculated values
The value obtained for the magnetization is 0.00 μB/atom. The uncorrected energy is -6.955 eV/atom.

a b c (Å): 16.000 4.244 8.652
angles (deg): 90.00 120.88 90.00
Space group C2/m (No. 12)
One atom of each set of equivalent atoms:
La 0.017 0.000 0.275 x4
La 0.234 0.500 0.319 x4
As 0.090 0.500 0.604 x4
Se 0.000 0.500 0.000 x2
N 0.178 0.000 0.367 x4



Entry 7:
DFT (GGA-PBE) results for a geometry-optimized LaSnAsN2 structure.

Calculated values
The value obtained for the magnetization is 0.39 μB/atom. The uncorrected energy is -5.667 eV/atom.

a b c (Å): 4.303 4.303 5.285
angles (deg): 90.00 90.00 90.00
Space group P4/mmm (No. 123)
One atom of each set of equivalent atoms:
La 0.000 0.000 0.000 x1
Sn 0.500 0.500 0.500 x1
As 0.500 0.500 0.000 x1
N 0.000 0.500 0.500 x2



Entry 8:
DFT (GGA-PBE) results for a geometry-optimized Sr2La4As3N2 structure.

Calculated values
The value obtained for the magnetization is 0.00 μB/atom. The uncorrected energy is -6.141 eV/atom.

a b c (Å): 4.892 4.892 25.028
angles (deg): 90.00 90.00 90.00
Space group I4/mmm (No. 139)
One atom of each set of equivalent atoms:
Sr 0.000 0.000 0.200 x4
La 0.000 0.500 0.084 x8
As 0.000 0.000 0.328 x4
As 0.000 0.000 0.500 x2
N 0.000 0.000 0.099 x4



Entry 9:
DFT (GGA-PBE) results for a geometry-optimized LaTc2AsN2 structure.

Calculated values
The value obtained for the magnetization is 0.00 μB/atom. The uncorrected energy is -8.303 eV/atom.

a b c (Å): 6.370 5.474 6.816
angles (deg): 90.00 108.17 90.00
Space group P2_1/m (No. 11)
One atom of each set of equivalent atoms:
La 0.176 0.250 0.296 x2
Tc 0.358 0.505 0.801 x4
As 0.274 0.750 0.077 x2
N 0.169 0.250 0.656 x2
N 0.443 0.750 0.639 x2



Entry 10:
DFT (GGA-PBE) results for a geometry-optimized La4Te2AsN2 structure.

Calculated values
The value obtained for the magnetization is 0.10 μB/atom. The uncorrected energy is -6.747 eV/atom.

a b c (Å): 16.626 4.269 7.613
angles (deg): 90.00 112.09 90.00
Space group C2/m (No. 12)
One atom of each set of equivalent atoms:
La 0.043 0.000 0.266 x4
La 0.215 0.500 0.657 x4
Te 0.126 0.500 0.019 x4
As 0.000 0.500 0.500 x2
N 0.178 0.000 0.481 x4



Entry 11:
DFT (GGA-PBE) results for a geometry-optimized La8Te4As3N structure.

Calculated values
The value obtained for the magnetization is 0.00 μB/atom. The uncorrected energy is -6.183 eV/atom.

a b c (Å): 8.6861 8.6861 22.2733
angles (deg): 90.00 90.00 120.00
Space group R-3m (No. 166, hexagonal axes)
One atom of each set of equivalent atoms:
La 0.0000 0.0000 0.2415 x6
La 0.0233 0.5116 0.2363 x18
Te 0.0000 0.0000 0.0000 x3
Te 0.0000 0.5000 0.0000 x9
As 0.0000 0.5000 0.5000 x9
N 0.0000 0.0000 0.5000 x3



Entry 12:
DFT (GGA-PBE) results for a geometry-optimized LaThAsN structure.

Calculated values
The value obtained for the magnetization is 0.14 μB/atom. The uncorrected energy is -7.518 eV/atom.

a b c (Å): 4.351 4.351 9.849
angles (deg): 90.00 90.00 90.00
Space group P4/nmm (No. 129, origin choice 2)
One atom of each set of equivalent atoms:
La 0.250 0.750 0.000 x2
Th 0.250 0.250 0.395 x2
As 0.250 0.250 0.784 x2
N 0.250 0.750 0.500 x2



Entry 13:
DFT (GGA-PBE) results for a geometry-optimized La2Y4As3N2 structure.

Calculated values
The value obtained for the magnetization is 0.00 μB/atom. The uncorrected energy is -7.390 eV/atom.

a b c (Å): 4.598 4.598 24.361
angles (deg): 90.00 90.00 90.00
Space group I4/mmm (No. 139)
One atom of each set of equivalent atoms:
La 0.000 0.000 0.194 x4
Y 0.000 0.500 0.078 x8
As 0.000 0.000 0.329 x4
As 0.000 0.000 0.500 x2
N 0.000 0.000 0.096 x4



Entry 14:
DFT (GGA-PBE) results for a geometry-optimized Na2LaAs structure.

Calculated values
The value obtained for the magnetization is 0.00 μB/atom. The uncorrected energy is -3.482 eV/atom. The formation energy comes out at -0.429 eV/atom.

a b c (Å): 4.360 4.360 25.600
angles (deg): 90.00 90.00 90.00
Space group I-42d (No. 122)
One atom of each set of equivalent atoms:
Na 0.225 0.250 0.125 x8
La 0.000 0.000 0.500 x4
As 0.000 0.000 0.000 x4



Entry 15:
DFT (GGA-PBE) results for a geometry-optimized NaLaAs3 structure.

Calculated values
The value obtained for the magnetization is 0.00 μB/atom. The uncorrected energy is -3.858 eV/atom. For the relative energy among the computed polymorphs, the calculation gives 157 meV/atom. The formation energy comes out at 0.181 eV/atom.

a b c (Å): 5.701 5.701 5.701
angles (deg): 90.00 90.00 90.00
Space group Pm-3m (No. 221)
One atom of each set of equivalent atoms:
Na 0.000 0.000 0.000 x1
La 0.500 0.500 0.500 x1
As 0.000 0.500 0.500 x3



Entry 16:
DFT (GGA-PBE) results for a geometry-optimized NaLaAs2 structure.

Calculated values
The value obtained for the magnetization is 0.00 μB/atom. The uncorrected energy is -4.594 eV/atom. For the relative energy among the computed polymorphs, the calculation gives 0 meV/atom. The formation energy comes out at -0.708 eV/atom.

a b c (Å): 5.433 5.433 3.310
angles (deg): 90.00 90.00 90.00
Space group P4/mmm (No. 123)
One atom of each set of equivalent atoms:
Na 0.000 0.000 0.000 x1
La 0.500 0.500 0.000 x1
As 0.000 0.500 0.500 x2



Entry 17:
DFT (GGA-PBE) results for a geometry-optimized NaLaAs3 structure.

Calculated values
The value obtained for the magnetization is 0.00 μB/atom. The uncorrected energy is -4.015 eV/atom. For the relative energy among the computed polymorphs, the calculation gives 0 meV/atom. The formation energy comes out at 0.024 eV/atom.

a b c (Å): 4.998 4.998 4.998
angles (deg): 90.00 90.00 90.00
Space group Pm-3m (No. 221)
One atom of each set of equivalent atoms:
Na 0.000 0.000 0.000 x1
La 0.500 0.500 0.500 x1
As 0.000 0.000 0.500 x3



Entry 18:
DFT (GGA-PBE) results for a geometry-optimized NaLaAs2 structure.

Calculated values
The value obtained for the magnetization is 0.00 μB/atom. The uncorrected energy is -4.223 eV/atom. For the relative energy among the computed polymorphs, the calculation gives 371 meV/atom. The formation energy comes out at -0.337 eV/atom.

a b c (Å): 5.071 5.071 17.743
angles (deg): 90.00 90.00 90.00
Space group I-42d (No. 122)
One atom of each set of equivalent atoms:
Na 0.000 0.000 0.000 x4
La 0.000 0.000 0.500 x4
As 0.146 0.250 0.125 x8



Entry 19:
DFT (GGA-PBE) results for a geometry-optimized NaLaAs2 structure.

Calculated values
The value obtained for the magnetization is 0.00 μB/atom. The uncorrected energy is -4.584 eV/atom. For the relative energy among the computed polymorphs, the calculation gives 10 meV/atom. The formation energy comes out at -0.697 eV/atom.

a b c (Å): 7.307 7.307 7.307
angles (deg): 90.00 90.00 90.00
Space group Fm-3m (No. 225)
One atom of each set of equivalent atoms:
Na 0.000 0.000 0.000 x4
La 0.000 0.000 0.500 x4
As 0.250 0.250 0.250 x8



Entry 20:
DFT (GGA-PBE) results for a geometry-optimized Na2LaAsO structure.

Calculated values
The value obtained for the magnetization is 0.00 μB/atom. The uncorrected energy is -4.933 eV/atom.

a b c (Å): 4.592 4.592 4.855
angles (deg): 90.00 90.00 90.00
Space group P4/mmm (No. 123)
One atom of each set of equivalent atoms:
Na 0.000 0.500 0.000 x2
La 0.000 0.000 0.500 x1
As 0.500 0.500 0.500 x1
O 0.000 0.000 0.000 x1